This record from the Alexandria database describes BeCdHg2 after structural relaxation. The functional is PBE-GGA.

a = 4.398 Å, b = 3.781 Å, c = 5.866 Å
α = 60.30°, β = 90.00°, γ = 90.00°
Sites, in units of the cell vectors:
1 Be 0.000 0.436 0.494
2 Hg 0.000 0.005 0.980
3 Hg 0.500 0.436 0.290
4 Cd 0.500 0.624 0.735

ΔE_f, eV/f.u.: 1.3
DOS(E_F), states/eV per atom: 0.4225
Distance to the lowest polymorph of the same formula, meV/atom: 90

=====

This record from the Alexandria database describes Sc6TiSe8 after structural relaxation. The functional is PBE-GGA.

a = 7.683 Å, b = 7.683 Å, c = 7.683 Å
α = 60.00°, β = 60.00°, γ = 60.00°
Last column: magnetic moment on the atom in μB.
Sites, in units of the cell vectors:
1 Sc 0.000 0.500 0.500  0.04
2 Sc 0.500 0.000 0.000  0.04
3 Sc 0.500 0.500 0.000  0.04
4 Sc 0.000 0.000 0.500  0.04
5 Sc 0.000 0.500 0.000  0.04
6 Sc 0.500 0.000 0.500  0.04
7 Ti 0.000 0.000 0.000  1.21
8 Se 0.750 0.750 0.750  -0.01
9 Se 0.250 0.250 0.250  -0.01
10 Se 0.751 0.249 0.249  0.00
11 Se 0.249 0.751 0.751  0.00
12 Se 0.249 0.249 0.751  0.00
13 Se 0.751 0.751 0.249  0.00
14 Se 0.751 0.249 0.751  0.00
15 Se 0.249 0.751 0.249  0.00

Raw formation energy, eV per atom: -1.586
DOS(E_F), states/eV per atom: 0.5795

=====

This record from the Alexandria database describes TmMnHgPt after structural relaxation. The functional is PBE-GGA.

a = 4.807 Å, b = 4.807 Å, c = 4.807 Å
α = 60.00°, β = 60.00°, γ = 60.00°
Last column: magnetic moment on the atom in μB.
Sites, in units of the cell vectors:
1 Mn 0.500 0.500 0.500  3.98
2 Tm 0.000 0.000 0.000  -0.06
3 Hg 0.250 0.250 0.250  -0.03
4 Pt 0.750 0.750 0.750  0.14

ΔE_f, eV/f.u.: -1.7
DOS(E_F), states/eV per atom: 0.4719

=====

This record from the Alexandria database describes DyHPb after structural relaxation. The functional is PBE-GGA.

a = 3.256 Å, b = 3.256 Å, c = 6.293 Å
α = 104.99°, β = 104.99°, γ = 90.00°
Last column: magnetic moment on the atom in μB.
Sites, in units of the cell vectors:
1 Pb 0.005 0.005 0.011  0.00
2 H 0.268 0.268 0.535  -0.01
3 Dy 0.727 0.727 0.454  0.37

DOS(E_F), states/eV per atom: 0.3271
Distance to the lowest polymorph of the same formula, meV/atom: 283

=====

This record from the Alexandria database describes LiDy3Sc2Se6 after structural relaxation. The functional is PBE-GGA.

a = 3.988 Å, b = 7.945 Å, c = 8.889 Å
α = 102.54°, β = 102.96°, γ = 90.00°
Sites, in units of the cell vectors:
1 Li 0.500 0.000 0.000
2 Dy 0.500 0.500 0.000
3 Dy 0.835 0.170 0.671
4 Dy 0.165 0.830 0.329
5 Sc 0.832 0.656 0.663
6 Sc 0.168 0.344 0.337
7 Se 0.336 0.907 0.672
8 Se 0.669 0.578 0.338
9 Se 0.664 0.093 0.328
10 Se 0.005 0.241 0.010
11 Se 0.995 0.759 0.990
12 Se 0.331 0.422 0.662

Raw formation energy, eV per atom: -1.692
DOS(E_F), states/eV per atom: 0.3697

=====

This record from the Alexandria database describes Li2Ca2Au after structural relaxation. The functional is PBE-GGA.

a = 7.082 Å, b = 7.082 Å, c = 4.928 Å
α = 90.00°, β = 90.00°, γ = 90.00°
Sites, in units of the cell vectors:
1 Ca 0.190 0.690 0.500
2 Ca 0.690 0.810 0.500
3 Ca 0.810 0.310 0.500
4 Ca 0.310 0.190 0.500
5 Au 0.000 0.000 0.000
6 Au 0.500 0.500 0.000
7 Li 0.365 0.865 0.000
8 Li 0.865 0.635 0.000
9 Li 0.635 0.135 0.000
10 Li 0.135 0.365 0.000

ΔE_f, eV/f.u.: -1.1
DOS(E_F), states/eV per atom: 0.5827
Distance to the lowest polymorph of the same formula, meV/atom: 78

=====

This record from the Alexandria database describes MnGePSN after structural relaxation. The functional is PBE-GGA.

a = 2.871 Å, b = 3.103 Å, c = 9.034 Å
α = 82.15°, β = 88.92°, γ = 62.36°
Sites, in units of the cell vectors:
1 Mn 0.199 0.807 0.443
2 Ge 0.561 0.053 0.748
3 P 0.436 0.384 0.062
4 S 0.754 0.721 0.241
5 N 0.524 0.147 0.523

Raw formation energy, eV per atom: 0.241
DOS(E_F), states/eV per atom: 0.5184
Distance to the lowest polymorph of the same formula, meV/atom: 400

=====

This record from the Alexandria database describes AlAgS3 after structural relaxation. The functional is PBE-GGA.

a = 4.813 Å, b = 4.813 Å, c = 4.813 Å
α = 90.00°, β = 90.00°, γ = 90.00°
Sites, in units of the cell vectors:
1 S 0.000 0.500 0.000
2 S 0.000 0.000 0.500
3 S 0.500 0.000 0.000
4 Al 0.500 0.500 0.500
5 Ag 0.000 0.000 0.000

Raw formation energy, eV per atom: 0.754
DOS(E_F), states/eV per atom: 0.9589
Distance to the lowest polymorph of the same formula, meV/atom: 646

=====

This record from the Alexandria database describes CoMoOs2Se after structural relaxation. The functional is PBE-GGA.

a = 4.469 Å, b = 4.543 Å, c = 4.469 Å
α = 90.00°, β = 90.00°, γ = 90.00°
Sites, in units of the cell vectors:
1 Co 0.500 0.500 0.500
2 Mo 0.000 0.500 0.000
3 Os 0.000 0.000 0.500
4 Os 0.500 0.000 0.000
5 Se 0.000 0.000 0.000

Raw formation energy, eV per atom: 1.862
DOS(E_F), states/eV per atom: 1.7126

=====

This record from the Alexandria database describes CaYGePt after structural relaxation. The functional is PBE-GGA.

a = 5.013 Å, b = 5.013 Å, c = 5.013 Å
α = 60.00°, β = 60.00°, γ = 60.00°
Sites, in units of the cell vectors:
1 Y 0.500 0.500 0.500
2 Ge 0.250 0.250 0.250
3 Ca 0.000 0.000 0.000
4 Pt 0.750 0.750 0.750

ΔE_f, eV/f.u.: -3.3
DOS(E_F), states/eV per atom: 0.4941

=====

This record from the Alexandria database describes AcNiPb2 after structural relaxation. The functional is PBE-GGA.

a = 4.754 Å, b = 9.855 Å, c = 10.772 Å
α = 117.22°, β = 102.75°, γ = 90.00°
Sites, in units of the cell vectors:
1 Ac 0.708 0.708 0.417
2 Ac 0.500 0.263 0.000
3 Ac 0.500 0.737 0.000
4 Ac 0.292 0.292 0.583
5 Ni 0.855 0.600 0.709
6 Ni 0.145 0.400 0.291
7 Ni 0.145 0.891 0.291
8 Ni 0.855 0.109 0.709
9 Pb 0.919 0.419 0.838
10 Pb 0.691 0.355 0.382
11 Pb 0.691 0.027 0.382
12 Pb 0.309 0.645 0.618
13 Pb 0.084 0.084 0.169
14 Pb 0.081 0.581 0.162
15 Pb 0.916 0.916 0.831
16 Pb 0.309 0.973 0.618

ΔE_f, eV/f.u.: -1.3
DOS(E_F), states/eV per atom: 0.4691

=====

This record from the Alexandria database describes AcTlHg2 after structural relaxation. The functional is PBE-GGA.

a = 5.481 Å, b = 5.481 Å, c = 5.481 Å
α = 60.00°, β = 60.00°, γ = 60.00°
Sites, in units of the cell vectors:
1 Ac 0.500 0.500 0.500
2 Tl 0.000 0.000 0.000
3 Hg 0.250 0.250 0.250
4 Hg 0.750 0.750 0.750

ΔE_f, eV/f.u.: -1.6
DOS(E_F), states/eV per atom: 0.2476
Distance to the lowest polymorph of the same formula, meV/atom: 0